No. 1
The following is a PBE-GGA calculation of a relaxed TiBiSe2 crystal, from the Alexandria database.

Output
As for the density of states at the Fermi level: 0.572 states/eV per atom. The energy relative to the elements, uncorrected comes out at -643 meV/atom.

a = 3.4315 Å, b = 30.5458 Å, c = 3.7792 Å
α = 90.00°, β = 90.00°, γ = 90.00°
Fractional coordinates of all 16 atoms:
Ti (0.0000, 0.1898, 0.2500)
Ti (0.0000, 0.8102, 0.7500)
Ti (0.5000, 0.3102, 0.7500)
Ti (0.5000, 0.6898, 0.2500)
Bi (0.0000, 0.4600, 0.2500)
Bi (0.0000, 0.5400, 0.7500)
Bi (0.5000, 0.0400, 0.7500)
Bi (0.5000, 0.9600, 0.2500)
Se (0.0000, 0.2808, 0.2500)
Se (0.0000, 0.3705, 0.7500)
Se (0.0000, 0.6295, 0.2500)
Se (0.0000, 0.7192, 0.7500)
Se (0.5000, 0.1295, 0.2500)
Se (0.5000, 0.2192, 0.7500)
Se (0.5000, 0.7808, 0.2500)
Se (0.5000, 0.8705, 0.7500)

***

No. 2
The following is a PBE-GGA calculation of a relaxed PmGa4Cu4 crystal, from the Alexandria database.

Output
As for the density of states at the Fermi level: 0.102 states/eV per atom. Its calculated formation energy is -15.6 kJ per mole of atoms.

a = 6.2392 Å, b = 6.2392 Å, c = 6.2392 Å
α = 97.34°, β = 97.34°, γ = 138.11°
Fractional coordinates of all 9 atoms:
Pm (0.0000, 0.0000, 0.0000)
Ga (0.1003, 0.6294, 0.7298)
Ga (0.3706, 0.1003, 0.4709)
Ga (0.6294, 0.8997, 0.5291)
Ga (0.8997, 0.3706, 0.2702)
Cu (0.2813, 0.3823, 0.6636)
Cu (0.3823, 0.7187, 0.1010)
Cu (0.6177, 0.2813, 0.8990)
Cu (0.7187, 0.6177, 0.3364)

***

No. 3
The following is a PBE-GGA calculation of a relaxed La6PmPr2Ho crystal, from the Alexandria database.

Output
As for the density of states at the Fermi level: 1.265 states/eV per atom. Its calculated formation energy is 10.3 kJ per mole of atoms.

a = 9.1875 Å, b = 9.1875 Å, c = 9.3300 Å
α = 90.08°, β = 90.08°, γ = 114.59°
Fractional coordinates of all 20 atoms:
La (0.0303, 0.4672, 0.6812)
La (0.0763, 0.7770, 0.9069)
La (0.2230, 0.9237, 0.5931)
La (0.2791, 0.5720, 0.0930)
La (0.4280, 0.7209, 0.4070)
La (0.4672, 0.0303, 0.1812)
La (0.5328, 0.9697, 0.8188)
La (0.5720, 0.2791, 0.5930)
La (0.7209, 0.4280, 0.9070)
La (0.7770, 0.0763, 0.4069)
La (0.9237, 0.2230, 0.0931)
La (0.9697, 0.5328, 0.3188)
Pm (0.0701, 0.9299, 0.2500)
Pm (0.9299, 0.0701, 0.7500)
Pr (0.2063, 0.2957, 0.4363)
Pr (0.2957, 0.2063, 0.9363)
Pr (0.7043, 0.7937, 0.0637)
Pr (0.7937, 0.7043, 0.5637)
Ho (0.4307, 0.5693, 0.7500)
Ho (0.5693, 0.4307, 0.2500)

***

No. 4
The following is a PBE-GGA calculation of a relaxed ZrTaRe2 crystal, from the Alexandria database.

Output
As for the density of states at the Fermi level: 0.651 states/eV per atom. Its calculated formation energy is -29.4 kJ per mole of atoms.

a = 4.5944 Å, b = 4.5944 Å, c = 3.2507 Å
α = 90.00°, β = 90.00°, γ = 90.00°
Fractional coordinates of all 4 atoms:
Zr (0.0000, 0.0000, 0.0000)
Ta (0.5000, 0.5000, 0.0000)
Re (0.0000, 0.5000, 0.5000)
Re (0.5000, 0.0000, 0.5000)